Computed, not measured: a relaxed structure of Ba4Cr2MoWO12 at the GGA-PBEsol level of DFT.

Calculated values
Total DFT energy (no corrections) in eV per atom: -8.37
E_form (uncorrected) in eV per atom: -2.492

Cell lengths 5.6242, 5.6242, 9.7437 Å; angles 73.23, 73.23, 60.00 degrees
With the nearest neighbours (Å) after each atom.
Element x y z (fractional)
Ba1 0.1238 0.1238 0.6285  12 O 2.78-2.84
Ba2 0.8762 0.8762 0.3715  12 O 2.78-2.84
Ba3 0.6261 0.6261 0.1217  12 O 2.79-2.84
Ba4 0.3739 0.3739 0.8783  12 O 2.79-2.84
Cr1 0.7487 0.7487 0.7538  6 O 1.96-2.04
Cr2 0.2513 0.2513 0.2462  6 O 1.96-2.04
Mo1 0.0000 0.0000 0.0000  6 O 2.00
W1 0.5000 0.5000 0.5000  6 O 1.96
O1 0.3767 0.3767 0.3774  1 W 1.96, 1 Cr 2.04
O2 0.6233 0.6233 0.6226  1 W 1.96, 1 Cr 2.04
O3 0.1308 0.6233 0.6226  1 W 1.96, 1 Cr 2.04
O4 0.8692 0.3767 0.3774  1 W 1.96, 1 Cr 2.04
O5 0.6233 0.1308 0.6226  1 W 1.96, 1 Cr 2.04
O6 0.3767 0.8692 0.3774  1 W 1.96, 1 Cr 2.04
O7 0.1250 0.1250 0.1258  1 Cr 1.96, 1 Mo 2.00
O8 0.8750 0.8750 0.8742  1 Cr 1.96, 1 Mo 2.00
O9 0.6241 0.1250 0.1258  1 Cr 1.96, 1 Mo 2.00
O10 0.3759 0.8750 0.8742  1 Cr 1.96, 1 Mo 2.00
O11 0.1250 0.6241 0.1258  1 Cr 1.96, 1 Mo 2.00
O12 0.8750 0.3759 0.8742  1 Cr 1.96, 1 Mo 2.00